(1)
# MgCuOs2 | the Alexandria database | PBE-GGA | relaxed
# electronic total energy: -6.809 eV/atom
# density: 13.33 g cm⁻³
data_MgCuOs2
_symmetry_space_group_name_H-M 'C 1 m 1'
_symmetry_Int_Tables_number 8
_cell_length_a 8.8843
_cell_length_b 2.7688
_cell_length_c 4.7908
_cell_angle_alpha 90.00
_cell_angle_beta 98.10
_cell_angle_gamma 90.00
loop_
_symmetry_equiv_pos_as_xyz
'x,y,z'
'x,-y,z'
'x+1/2,y+1/2,z'
'x+1/2,-y+1/2,z'
loop_
_atom_site_label
_atom_site_fract_x
_atom_site_fract_y
_atom_site_fract_z
Mg1 0.0000 0.0000 0.0000
Cu1 0.2531 0.5000 0.1973
Os1 0.2409 0.0000 0.6781
Os2 0.4980 0.0000 0.5019

---

(2)
# MgCu2Os | the Alexandria database | PBE-GGA | relaxed
# electronic total energy: -4.957 eV/atom
# density: 10.26 g cm⁻³
data_MgCu2Os
_symmetry_space_group_name_H-M 'I 4/m m m'
_symmetry_Int_Tables_number 139
_symmetry_space_group_name_Hall '-I 4 2'
_cell_length_a 4.0278
_cell_length_b 4.0278
_cell_length_c 6.8177
_cell_angle_alpha 90.00
_cell_angle_beta 90.00
_cell_angle_gamma 90.00
loop_
_atom_site_label
_atom_site_fract_x
_atom_site_fract_y
_atom_site_fract_z
Mg1 0.0000 0.0000 0.0000
Cu1 0.0000 0.5000 0.2500
Os1 0.0000 0.0000 0.5000

---

(3)
# MgCuOs2 | the Alexandria database | PBE-GGA | relaxed
# electronic total energy: -6.656 eV/atom
# density: 13.42 g cm⁻³
data_MgCuOs2
_symmetry_space_group_name_H-M 'P 4/m m m'
_symmetry_Int_Tables_number 123
_symmetry_space_group_name_Hall '-P 4 2'
_cell_length_a 3.7050
_cell_length_b 3.7050
_cell_length_c 4.2217
_cell_angle_alpha 90.00
_cell_angle_beta 90.00
_cell_angle_gamma 90.00
loop_
_atom_site_label
_atom_site_fract_x
_atom_site_fract_y
_atom_site_fract_z
Mg1 0.0000 0.0000 0.0000
Cu1 0.5000 0.5000 0.0000
Os1 0.0000 0.5000 0.5000

---

(4)
# MgCuOs2 | the Alexandria database | PBE-GGA | relaxed
# electronic total energy: -6.473 eV/atom
# density: 13.37 g cm⁻³
data_MgCuOs2
_symmetry_space_group_name_H-M 'P 4/m m m'
_symmetry_Int_Tables_number 123
_symmetry_space_group_name_Hall '-P 4 2'
_cell_length_a 3.0036
_cell_length_b 3.0036
_cell_length_c 6.4472
_cell_angle_alpha 90.00
_cell_angle_beta 90.00
_cell_angle_gamma 90.00
loop_
_atom_site_label
_atom_site_fract_x
_atom_site_fract_y
_atom_site_fract_z
Mg1 0.0000 0.0000 0.0000
Cu1 0.0000 0.0000 0.5000
Os1 0.5000 0.5000 0.2886